(1)
Computed, not measured: La4CdPt after structural relaxation at the PBE level of DFT.

Polymorph energy (0 for the lowest one) (kJ per mole of atoms): 0.0
V (A^3/atom): 31.193
Space-group type: F-43m, No. 216

Cell lengths 10.192, 10.192, 10.192 Å; angles 60.00, 60.00, 60.00 degrees
Positions (direct):
La  0.443  0.443  0.057
La  0.600  0.600  0.199
La  0.057  0.443  0.443
La  0.443  0.057  0.057
La  0.443  0.057  0.443
La  0.199  0.600  0.600
La  0.187  0.813  0.813
La  0.600  0.199  0.600
La  0.057  0.057  0.443
La  0.187  0.813  0.187
La  0.600  0.600  0.600
La  0.057  0.443  0.057
La  0.813  0.187  0.813
La  0.813  0.813  0.187
La  0.187  0.187  0.813
La  0.813  0.187  0.187
Pt  0.821  0.393  0.393
Pt  0.393  0.393  0.393
Pt  0.393  0.393  0.821
Pt  0.393  0.821  0.393
Cd  0.511  0.830  0.830
Cd  0.830  0.830  0.511
Cd  0.830  0.830  0.830
Cd  0.830  0.511  0.830

---

(2)
Computed, not measured: La2CdPt after structural relaxation at the PBE level of DFT.

V (A^3/atom): 25.876
Space-group type: I-4m2, No. 119

Cell lengths 6.000, 6.000, 6.000 Å; angles 135.81, 135.81, 64.27 degrees
Positions (direct):
Cd  0.750  0.250  0.500
La  0.250  0.750  0.500
La  0.000  0.000  0.000
Pt  0.500  0.500  0.000

---

(3)
Computed, not measured: La6Cd2Pt after structural relaxation at the PBE level of DFT.

Polymorph energy (0 for the lowest one) (kJ per mole of atoms): 8.7
V (A^3/atom): 32.888
Space-group type: P2_1/c, No. 14

Cell lengths 6.522, 8.358, 10.865 Å; angles 90.00, 88.43, 90.00 degrees
Positions (direct):
La  0.132  0.342  0.462
La  0.122  0.026  0.753
La  0.120  0.304  0.042
La  0.368  0.842  0.038
La  0.380  0.804  0.458
La  0.880  0.696  0.958
La  0.622  0.474  0.253
La  0.378  0.526  0.747
La  0.632  0.158  0.962
La  0.620  0.196  0.542
La  0.878  0.974  0.247
La  0.868  0.658  0.538
Cd  0.894  0.384  0.760
Cd  0.606  0.884  0.740
Cd  0.394  0.116  0.260
Cd  0.106  0.616  0.240
Pt  0.500  0.500  0.000
Pt  0.000  0.000  0.500

---

(4)
Computed, not measured: LaCdPt2 after structural relaxation at the PBE level of DFT.

V (A^3/atom): 21.240
Space-group type: P4/mmm, No. 123

Cell lengths 3.672, 4.810, 4.810 Å; angles 90.00, 90.00, 90.00 degrees
Positions (direct):
Cd  0.500  0.000  0.000
La  0.500  0.500  0.500
Pt  0.000  0.000  0.500
Pt  0.000  0.500  0.000

---

ΔE_f
In order: -0.5610, -0.5107, -0.3335, -0.7089
Unit: eV/atom
Mass density
In order: 7.66, 9.39, 7.03, 12.54
Unit: g/cm³